1.
The following is a SCAN calculation of a PBEsol-optimized structure of Zr5In3Ag, from Alexandria via LeMat-Bulk.

Computed properties:
**Energy relative to the elements**: -34 kJ/mol of atoms
**SG**: P6_3/mcm, No. 193
**Size of the total moment**: 0.00 Bohr magnetons per cell
**E**: -32.02 eV per atom

Lattice parameters (Å, degrees): 5.8598 8.6600 8.6600 120.00 90.00 90.00
Closest atoms and distances in Å follow each position.
Positions (direct):
In: 0.2500 0.3644 0.3644  9 Zr 2.91-3.13
In: 0.7500 0.6356 0.6356  9 Zr 2.91-3.13
In: 0.2500 0.0000 0.6356  9 Zr 2.91-3.13
In: 0.2500 0.6356 0.0000  9 Zr 2.91-3.13
In: 0.7500 0.3644 0.0000  9 Zr 2.91-3.13
In: 0.7500 0.0000 0.3644  9 Zr 2.91-3.13
Zr: 0.5000 0.3333 0.6667  2 Zr 2.93, 6 In 3.13
Zr: 0.2500 0.2981 0.0000  5 In 2.91-2.99, 2 Ag 2.97
Zr: 0.7500 0.7019 0.0000  5 In 2.91-2.99, 2 Ag 2.97
Zr: 0.2500 0.7019 0.7019  5 In 2.91-2.99, 2 Ag 2.97
Zr: 0.5000 0.6667 0.3333  2 Zr 2.93, 6 In 3.13
Zr: 0.0000 0.6667 0.3333  2 Zr 2.93, 6 In 3.13
Zr: 0.7500 0.2981 0.2981  5 In 2.91-2.99, 2 Ag 2.97
Zr: 0.0000 0.3333 0.6667  2 Zr 2.93, 6 In 3.13
Zr: 0.2500 0.0000 0.2981  5 In 2.91-2.99, 2 Ag 2.97
Zr: 0.7500 0.0000 0.7019  5 In 2.91-2.99, 2 Ag 2.97
Ag: 0.0000 0.0000 0.0000  2 Ag 2.93, 6 Zr 2.97
Ag: 0.5000 0.0000 0.0000  2 Ag 2.93, 6 Zr 2.97

2.
The following is a SCAN calculation of a PBEsol-optimized structure of ZrIrPb2, from Alexandria via LeMat-Bulk.

Computed properties:
**Energy relative to the elements**: 20 kJ/mol of atoms
**SG**: P4/mmm, No. 123
**Size of the total moment**: 0.00 Bohr magnetons per cell
**E**: -63.13 eV per atom
**Relative energy among the computed polymorphs**: 16.1 kJ per mole of atoms

Lattice parameters (Å, degrees): 3.3542 3.3542 7.2838 90.00 90.00 90.00
Closest atoms and distances in Å follow each position.
Positions (direct):
Pb: 0.0000 0.0000 0.2756  4 Ir 2.88, 4 Zr 3.11
Pb: 0.0000 0.0000 0.7244  4 Ir 2.88, 4 Zr 3.11
Zr: 0.5000 0.5000 0.0000  8 Pb 3.11, 4 Zr 3.35
Ir: 0.5000 0.5000 0.5000  8 Pb 2.88

3.
The following is a SCAN calculation of a PBEsol-optimized structure of Na2MnO2, from Alexandria via LeMat-Bulk.

Computed properties:
**Formation energy from raw total energies**: -1.62 eV per atom
**SG**: Ibam, No. 72
**Size of the total moment**: 9.98 Bohr magnetons per cell
**E**: -9.44 eV per atom

Lattice parameters (Å, degrees): 5.6991 5.9292 5.7138 118.81 90.00 118.72
Closest atoms and distances in Å follow each position.
Positions (direct):
Na: 0.3439 0.6879 0.4461  3 O 2.29-2.39
Na: 0.1560 0.3121 0.7582  3 O 2.29-2.39
Na: 0.6561 0.3121 0.5539  3 O 2.29-2.39
Na: 0.8440 0.6879 0.2418  3 O 2.29-2.39
Mn: 0.7500 0.0000 0.0000  4 O 2.03
Mn: 0.2500 0.0000 0.0000  4 O 2.03
O: 0.0907 0.1814 0.3021  2 Mn 2.03
O: 0.9093 0.8186 0.6979  2 Mn 2.03
O: 0.4093 0.8186 0.1206  2 Mn 2.03
O: 0.5907 0.1814 0.8794  2 Mn 2.03